No. 1
The following is a DFT calculation (PBE) of a geometry-optimized Ac2MgGeAu6 structure.

Cell: 5.6163 7.1266 7.2138 Å, 80.50 67.12 66.85°
With the nearest neighbours (Å) after each atom.
Space group P-1 (No. 2)
One atom of each set of equivalent atoms:
Ac 0.2389 0.2927 0.2283 x2  7 Au 3.25-3.53, 2 Ge 3.61
Mg 0.0000 0.0000 0.0000 x1  6 Au 2.68-2.74
Ge 0.5000 0.5000 0.5000 x1  6 Au 2.74
Au 0.2391 0.2599 0.7697 x2  1 Mg 2.68, 1 Ge 2.74, 3 Au 2.79-2.97
Au 0.2490 0.9033 0.6009 x2  1 Ge 2.74, 1 Mg 2.74, 4 Au 2.96-3.03
Au 0.2634 0.7398 0.2334 x2  1 Mg 2.69, 1 Ge 2.74, 3 Au 2.79-2.96

* crystal system: triclinic



No. 2
The following is a DFT calculation (PBE) of a geometry-optimized AcMgGe2Au4 structure.

Cell: 4.6521 4.6521 27.3063 Å, 90.00 90.00 120.00°
With the nearest neighbours (Å) after each atom.
Space group R-3m (No. 166, hexagonal axes)
One atom of each set of equivalent atoms:
Ac 0.0000 0.0000 0.0000 x3  6 Au 3.23
Mg 0.0000 0.0000 0.5000 x3  8 Au 2.75-2.79
Ge 0.0000 0.0000 0.2437 x6  7 Au 2.76-3.01
Au 0.0000 0.0000 0.1391 x6  3 Mg 2.79, 4 Ge 2.86-3.01, 3 Au 3.08
Au 0.0000 0.0000 0.3992 x6  1 Mg 2.75, 3 Ge 2.76

* crystal system: trigonal



no.,energy relative to the elements (kJ/mol of formula units)
1,-519
2,-344